VASP calculation (GGA-PBEsol) on a relaxed MgO crystal.

Its total moment is 0.0 Bohr magnetons per cell. For the energy relative to the elements, uncorrected, the calculation gives -2706 meV per atom.

Cell: 2.9745 2.9745 29.5514 Å, 90.00 90.00 120.00°
Last column: nearest neighbours and their distance in Å.
Fractional positions:
Mg 0.3333 0.6667 0.3350  6 O 2.10-2.11
Mg 0.6667 0.3333 0.8350  6 O 2.10-2.11
Mg 0.6667 0.3333 0.6650  6 O 2.10-2.11
Mg 0.3333 0.6667 0.1650  6 O 2.10-2.11
Mg 0.3333 0.6667 0.9175  6 O 2.10-2.11
Mg 0.6667 0.3333 0.4175  6 O 2.10-2.11
Mg 0.6667 0.3333 0.0825  6 O 2.10-2.11
Mg 0.3333 0.6667 0.5825  6 O 2.10-2.11
Mg 0.0000 0.0000 0.7500  6 O 2.15
Mg 0.0000 0.0000 0.2500  6 O 2.15
Mg 0.0000 0.0000 0.5000  6 O 2.11
Mg 0.0000 0.0000 0.0000  6 O 2.11
O 0.3333 0.6667 0.4588  6 Mg 2.11
O 0.6667 0.3333 0.9588  6 Mg 2.11
O 0.6667 0.3333 0.5412  6 Mg 2.11
O 0.3333 0.6667 0.0412  6 Mg 2.11
O 0.3333 0.6667 0.7061  6 Mg 2.10-2.15
O 0.6667 0.3333 0.2061  6 Mg 2.10-2.15
O 0.6667 0.3333 0.2939  6 Mg 2.10-2.15
O 0.3333 0.6667 0.7939  6 Mg 2.10-2.15
O 0.0000 0.0000 0.6237  6 Mg 2.10-2.11
O 0.0000 0.0000 0.1237  6 Mg 2.10-2.11
O 0.0000 0.0000 0.3763  6 Mg 2.10-2.11
O 0.0000 0.0000 0.8763  6 Mg 2.10-2.11